Below is a relaxed V3Ni2Pt3 crystal, with properties calculated at the GGA-PBE level.

Output
ΔH_f (0 K): -2.792 eV per formula unit
VASP energy: -119.67 eV for the cell shown

a = 12.2686 Å, b = 4.2399 Å, c = 4.4203 Å
α = 90.00°, β = 107.58°, γ = 90.00°
With the nearest neighbours (Å) after each atom.
Space group C2/m (No. 12)
Inequivalent atoms, fractional coordinates:
V1 0.0000 0.0000 0.0000  2 V 2.42, 4 Pt 2.66
V2 0.1403 0.0000 0.7161  1 V 2.42, 4 Ni 2.47-2.63, 3 Pt 2.61-2.70
Ni1 0.2491 0.0000 0.3277  4 V 2.47-2.63, 4 Pt 2.53-2.64, 2 Ni 2.61
Pt1 0.0000 0.5000 0.5000  4 Pt 2.64-2.81, 4 V 2.72, 2 Ni 2.94
Pt2 0.1365 0.5000 0.0902  4 Ni 2.53-2.64, 5 V 2.61-2.70, 2 Pt 2.64-2.81